# GGA-PBE BeCrFeRh, relaxed
# Total magnetic moment = 0.98 μB per formula unit
# Energy = -29.62 eV/f.u.
data_BeCrFeRh
_space_group_name_H-M_alt 'F -4 3 m'
_space_group_IT_number 216
_space_group_name_Hall 'F -4 2 3'
_cell_length_a 5.641
_cell_length_b 5.641
_cell_length_c 5.641
_cell_angle_alpha 90.00
_cell_angle_beta 90.00
_cell_angle_gamma 90.00
loop_
_atom_site_label
_atom_site_fract_x
_atom_site_fract_y
_atom_site_fract_z
Be1 0.000 0.000 0.000
Cr1 0.000 0.000 0.500
Fe1 0.250 0.250 0.250
Rh1 0.250 0.250 0.750